A geometry-optimized PmHoRuRh structure, computed with PBE-GGA. Values from VASP.

E above lowest polymorph (meV/atom): 19.2
Space-group type: F-43m, No. 216
ρ (g/cm3): 10.38
E (eV/atom): -7.011
Energy of formation from the pure elements (eV per atom): -0.52
V (Å³ per cell): 82.2
D(E_F) (states/eV/f.u.): 2.627

```
&SYSTEM
  ibrav = 0, nat = 4, ntyp = 4
/
ATOMIC_SPECIES
Pm 145.00 Pm.upf
Ho 164.93 Ho.upf
Ru 101.07 Ru.upf
Rh 102.91 Rh.upf
ATOMIC_POSITIONS angstrom
Pm 0.000 0.000 0.000
Ho 3.451 3.451 3.451
Ru 5.177 5.177 5.177
Rh 1.726 1.726 1.726
CELL_PARAMETERS angstrom
0.000 3.451 3.451
3.451 0.000 3.451
3.451 3.451 0.000
```

=====

A geometry-optimized Pm2HoSb3Rh4 structure, computed with PBE-GGA. Values from VASP.

Energy relative to the elements, uncorrected (eV/atom): -0.86
Space-group type: P-4m2, No. 115
ρ (g/cm3): 9.31
E (eV/atom): -6.445
V (Å³ per cell): 219.7
D(E_F) (states/eV/f.u.): 7.356

```
&SYSTEM
  ibrav = 0, nat = 10, ntyp = 4
/
ATOMIC_SPECIES
Pm 145.00 Pm.upf
Ho 164.93 Ho.upf
Sb 121.76 Sb.upf
Rh 102.91 Rh.upf
ATOMIC_POSITIONS angstrom
Pm 0.000 2.188 2.590
Pm 2.188 0.000 8.884
Ho 0.000 0.000 5.737
Sb 0.000 2.188 9.965
Sb 2.188 0.000 1.508
Sb 2.188 2.188 5.737
Rh 0.000 0.000 0.000
Rh 0.000 2.188 7.403
Rh 2.188 0.000 4.071
Rh 2.188 2.188 0.000
CELL_PARAMETERS angstrom
4.375 0.000 0.000
0.000 4.375 0.000
0.000 0.000 11.473
```

=====

A geometry-optimized PmHoSb2Rh5 structure, computed with PBE-GGA. Values from VASP.

Energy relative to the elements, uncorrected (eV/atom): -0.53
Space-group type: P4/mmm, No. 123
ρ (g/cm3): 9.94
E (eV/atom): -6.562
V (Å³ per cell): 178.4
D(E_F) (states/eV/f.u.): 5.480

```
&SYSTEM
  ibrav = 0, nat = 9, ntyp = 4
/
ATOMIC_SPECIES
Pm 145.00 Pm.upf
Ho 164.93 Ho.upf
Sb 121.76 Sb.upf
Rh 102.91 Rh.upf
ATOMIC_POSITIONS angstrom
Pm 0.000 0.000 0.000
Ho 0.000 0.000 4.482
Sb 2.230 2.230 3.079
Sb 2.230 2.230 5.886
Rh 0.000 2.230 1.941
Rh 0.000 2.230 7.024
Rh 2.230 0.000 1.941
Rh 2.230 0.000 7.024
Rh 2.230 2.230 0.000
CELL_PARAMETERS angstrom
4.460 0.000 0.000
0.000 4.460 0.000
0.000 0.000 8.965
```

=====

A geometry-optimized PmHoSiRh structure, computed with PBE-GGA. Values from VASP.

E above lowest polymorph (meV/atom): 204.5
Energy relative to the elements, uncorrected (eV/atom): -0.61
Space-group type: F-43m, No. 216
ρ (g/cm3): 8.40
E (eV/atom): -6.133
V (Å³ per cell): 87.2
D(E_F) (states/eV/f.u.): 1.996

```
&SYSTEM
  ibrav = 0, nat = 4, ntyp = 4
/
ATOMIC_SPECIES
Pm 145.00 Pm.upf
Ho 164.93 Ho.upf
Si 28.09 Si.upf
Rh 102.91 Rh.upf
ATOMIC_POSITIONS angstrom
Pm 0.000 0.000 0.000
Ho 3.519 3.519 3.519
Si 1.760 1.760 1.760
Rh 5.279 5.279 5.279
CELL_PARAMETERS angstrom
0.000 3.519 3.519
3.519 0.000 3.519
3.519 3.519 0.000
```

=====

A geometry-optimized PmHoSiRh structure, computed with PBE-GGA. Values from VASP.

E above lowest polymorph (meV/atom): 0.0
Energy relative to the elements, uncorrected (eV/atom): -0.81
Space-group type: Amm2, No. 38
ρ (g/cm3): 8.11
E (eV/atom): -6.338
V (Å³ per cell): 90.3
D(E_F) (states/eV/f.u.): 3.239

```
&SYSTEM
  ibrav = 0, nat = 4, ntyp = 4
/
ATOMIC_SPECIES
Pm 145.00 Pm.upf
Ho 164.93 Ho.upf
Si 28.09 Si.upf
Rh 102.91 Rh.upf
ATOMIC_POSITIONS angstrom
Pm 0.000 0.000 0.000
Ho 2.034 0.000 2.976
Si 2.034 0.000 6.114
Rh 0.000 0.000 7.602
CELL_PARAMETERS angstrom
4.067 0.000 0.000
0.000 2.104 5.275
0.000 -2.104 5.275
```

=====

A geometry-optimized Pm2HoSn3Rh4 structure, computed with PBE-GGA. Values from VASP.

Space-group type: P-4m2, No. 115
ρ (g/cm3): 9.16
E (eV/atom): -6.298
Energy of formation from the pure elements (eV per atom): -0.75
V (Å³ per cell): 221.5
D(E_F) (states/eV/f.u.): 7.664

```
&SYSTEM
  ibrav = 0, nat = 10, ntyp = 4
/
ATOMIC_SPECIES
Pm 145.00 Pm.upf
Ho 164.93 Ho.upf
Sn 118.71 Sn.upf
Rh 102.91 Rh.upf
ATOMIC_POSITIONS angstrom
Pm 0.000 2.198 2.654
Pm 2.198 0.000 8.811
Ho 0.000 0.000 5.733
Sn 0.000 2.198 10.012
Sn 2.198 0.000 1.453
Sn 2.198 2.198 5.733
Rh 0.000 0.000 0.000
Rh 0.000 2.198 7.413
Rh 2.198 0.000 4.053
Rh 2.198 2.198 0.000
CELL_PARAMETERS angstrom
4.396 0.000 0.000
0.000 4.396 0.000
0.000 0.000 11.466
```

=====

A geometry-optimized PmHoTh2Rh4 structure, computed with PBE-GGA. Values from VASP.

Space-group type: Fmm2, No. 42
ρ (g/cm3): 10.62
E (eV/atom): -7.466
Energy of formation from the pure elements (eV per atom): -0.77
V (Å³ per cell): 185.3
D(E_F) (states/eV/f.u.): 5.393

```
&SYSTEM
  ibrav = 0, nat = 8, ntyp = 4
/
ATOMIC_SPECIES
Pm 145.00 Pm.upf
Ho 164.93 Ho.upf
Th 232.04 Th.upf
Rh 102.91 Rh.upf
ATOMIC_POSITIONS angstrom
Pm 0.000 0.000 0.000
Ho 3.953 5.602 4.794
Th 1.976 2.801 1.865
Th 5.929 8.403 6.050
Rh 5.541 5.602 2.384
Rh 3.953 3.015 3.913
Rh 2.365 5.602 2.384
Rh 3.953 8.188 3.913
CELL_PARAMETERS angstrom
0.000 5.602 4.185
3.953 0.000 4.185
3.953 5.602 0.000
```

=====

A geometry-optimized PmHoTlRh structure, computed with PBE-GGA. Values from VASP.

E above lowest polymorph (meV/atom): 128.0
Space-group type: F-43m, No. 216
ρ (g/cm3): 10.47
E (eV/atom): -5.213
Energy of formation from the pure elements (eV per atom): -0.45
V (Å³ per cell): 97.9
D(E_F) (states/eV/f.u.): 2.768

```
&SYSTEM
  ibrav = 0, nat = 4, ntyp = 4
/
ATOMIC_SPECIES
Pm 145.00 Pm.upf
Ho 164.93 Ho.upf
Tl 204.38 Tl.upf
Rh 102.91 Rh.upf
ATOMIC_POSITIONS angstrom
Pm 0.000 0.000 0.000
Ho 3.658 3.658 3.658
Tl 5.487 5.487 5.487
Rh 1.829 1.829 1.829
CELL_PARAMETERS angstrom
0.000 3.658 3.658
3.658 0.000 3.658
3.658 3.658 0.000
```